{
  "formula": "MoCl",
  "functional": "PBE",
  "state": "optimized geometry",
  "lattice_angstrom": [[0.0000, 2.6787, 2.6787], [2.6787, 0.0000, 2.6787], [2.6787, 2.6787, 0.0000]],
  "species": ["Mo", "Cl"],
  "fractional_positions": [[0.0000, 0.0000, 0.0000], [0.5000, 0.5000, 0.5000]],
  "e_form_raw_ev_per_fu": 2.51,
  "final_energy_ev_per_fu": -10.169,
  "polymorph_energy_mev_per_atom": 1665,
  "vol_a3_per_cell": 38
}



{
  "formula": "MoCl",
  "functional": "PBE",
  "state": "optimized geometry",
  "lattice_angstrom": [[-1.5187, 1.5583, 9.0098], [1.5187, -1.5583, 9.0098], [1.5187, 1.5583, -9.0098]],
  "species": ["Mo", "Mo", "Cl", "Cl"],
  "fractional_positions": [[0.3020, 0.0520, 0.2500], [0.6980, 0.9480, 0.7500], [0.1077, 0.3577, 0.7500], [0.8923, 0.6423, 0.2500]],
  "e_form_raw_ev_per_fu": 0.05,
  "final_energy_ev_per_fu": -12.623,
  "polymorph_energy_mev_per_atom": 438,
  "vol_a3_per_cell": 85
}



{
  "formula": "Mo3Cl4",
  "functional": "PBE",
  "state": "optimized geometry",
  "lattice_angstrom": [[-1.5011, 1.5011, 15.2039], [1.5011, -1.5011, 15.2039], [1.5011, 1.5011, -15.2039]],
  "species": ["Mo", "Mo", "Mo", "Cl", "Cl", "Cl", "Cl"],
  "fractional_positions": [[0.0000, 0.0000, 0.0000], [0.2808, 0.2808, 0.0000], [0.7192, 0.7192, 0.0000], [0.1669, 0.1669, 0.0000], [0.4511, 0.4511, 0.0000], [0.5489, 0.5489, 0.0000], [0.8331, 0.8331, 0.0000]],
  "e_form_raw_ev_per_fu": -0.45,
  "final_energy_ev_per_fu": -40.328,
  "vol_a3_per_cell": 137
}